Compound: Cs2BN
Source: Alexandria
Functional: PBE
Structure: optimized geometry

## Properties
E_tot = -9.902 eV/cell
Fermi-level density of states = 2.8 states/eV/f.u.
uncorrected formation energy = 1.7019 eV/atom

abc: 5.611 5.611 5.611
angles: 60.00 60.00 60.00
Each line ends with the local moment (μB).
Atoms (fractional coordinates):
Cs 0.250 0.250 0.250  -0.05
Cs 0.750 0.750 0.750  -0.05
B 0.000 0.000 0.000  -0.58
N 0.500 0.500 0.500  1.20

***

Compound: NaZnB2H8
Source: Alexandria
Functional: PBE
Structure: optimized geometry

## Properties
E_tot = -43.412 eV/cell
Fermi-level density of states = 2.8 states/eV/f.u.

abc: 4.458 4.458 6.654
angles: 101.25 101.25 66.45
Atoms (fractional coordinates):
Na 0.000 0.000 0.500
Zn 0.000 0.000 0.000
B 0.623 0.623 0.267
B 0.377 0.377 0.733
H 0.680 0.285 0.794
H 0.749 0.749 0.176
H 0.676 0.676 0.456
H 0.324 0.324 0.544
H 0.251 0.251 0.824
H 0.285 0.680 0.794
H 0.715 0.320 0.206
H 0.320 0.715 0.206

***

Compound: DyTh2As2Rh7
Source: Alexandria
Functional: PBE
Structure: optimized geometry

## Properties
E_tot = -89.886 eV/cell
Fermi-level density of states = 8.3 states/eV/f.u.
formation energy from the elements = -0.807 eV per atom

abc: 4.084 4.084 13.470
angles: 83.91 83.91 89.45
Atoms (fractional coordinates):
Dy 0.000 0.000 0.000
Th 0.886 0.886 0.348
Th 0.114 0.114 0.652
As 0.587 0.587 0.746
As 0.413 0.413 0.254
Rh 0.500 0.500 0.000
Rh 0.338 0.338 0.436
Rh 0.662 0.662 0.564
Rh 0.946 0.445 0.157
Rh 0.445 0.946 0.157
Rh 0.555 0.054 0.843
Rh 0.054 0.555 0.843

***

Compound: ScSeS2N
Source: Alexandria
Functional: PBE
Structure: optimized geometry

## Properties
E_tot = -24.223 eV/cell
Fermi-level density of states = 6.2 states/eV/f.u.
uncorrected formation energy = 0.4346 eV/atom

abc: 5.028 5.028 3.957
angles: 90.00 90.00 90.00
Atoms (fractional coordinates):
Sc 0.000 0.000 0.000
S 0.000 0.500 0.000
S 0.500 0.000 0.000
Se 0.500 0.500 0.500
N 0.000 0.000 0.500

***

Which formula does entry 3 have?
DyTh2As2Rh7

***

Which of these has the highest E_tot?
Cs2BN

***

Among the records above, which one has the lowest E_tot?
DyTh2As2Rh7

***

Which of these has the lowest E_tot?
DyTh2As2Rh7